Entry from the Alexandria database: crystalline Na2Li3Sb2 at its relaxed geometry (PBE).

Lattice parameters (Å, degrees): 4.6862 5.9671 7.2625 108.31 90.00 113.12
Sites, in units of the cell vectors:
Na  0.8380  0.6759  0.2109
Na  0.1620  0.3241  0.7891
Li  0.5000  0.0000  0.0000
Li  0.6435  0.2870  0.4314
Li  0.3565  0.7130  0.5686
Sb  0.8700  0.7400  0.7692
Sb  0.1300  0.2600  0.2308

DFT total energy = -19.69 eV for the cell shown
DOS(E_F) = 1.534 states/eV/f.u.
Total magnetization = 0.00 μB/f.u.
SG = No. 12